Entry from Alexandria via LeMat-Bulk: a relaxed structure of Li2CaMo (PBE).

- relative energy among the computed polymorphs (eV/f.u.) = 1.082
- energy of formation (eV/atom) = 0.756
- crystal system = tetragonal

abc: 4.6483 4.6483 3.8350
angles: 90.00 90.00 90.00
Closest atoms and distances in Å follow each position.
Fractional positions:
Li 0.0000 0.5000 0.0000  4 Mo 3.01, 4 Ca 3.01, 4 Li 3.29
Li 0.5000 0.0000 0.0000  4 Mo 3.01, 4 Ca 3.01, 4 Li 3.29
Ca 0.0000 0.0000 0.5000  8 Li 3.01, 4 Mo 3.29
Mo 0.5000 0.5000 0.5000  8 Li 3.01, 4 Ca 3.29



Entry from Alexandria via LeMat-Bulk: a relaxed structure of Li2CaMo (PBE).

- relative energy among the computed polymorphs (eV/f.u.) = 0.634
- energy of formation (eV/atom) = 0.644
- crystal system = orthorhombic

abc: 5.8482 5.8482 5.8482
angles: 152.09 126.71 61.22
Closest atoms and distances in Å follow each position.
Fractional positions:
Li 0.0000 0.0000 0.0000  4 Li 2.58-2.82, 2 Mo 2.79
Li 0.7854 0.2854 0.5000  4 Li 2.58-2.82
Ca 0.5186 0.5186 0.0000  2 Ca 2.82, 6 Li 2.98-3.03, 2 Mo 3.15
Mo 0.2391 0.7391 0.5000  6 Li 2.79-3.01, 2 Mo 2.82



Entry from Alexandria via LeMat-Bulk: a relaxed structure of LiCa4Mo (PBE).

- energy of formation (eV/atom) = 0.900
- crystal system = cubic

abc: 6.7087 6.7087 6.7087
angles: 60.00 60.00 60.00
Closest atoms and distances in Å follow each position.
Fractional positions:
Li 0.0000 0.0000 0.0000  12 Ca 3.93, 4 Mo 4.11
Ca 0.3754 0.3754 0.3754  6 Ca 3.34-3.37
Ca 0.3754 0.3754 0.8737  6 Ca 3.34-3.37
Ca 0.3754 0.8737 0.3754  6 Ca 3.34-3.37
Ca 0.8737 0.3754 0.3754  6 Ca 3.34-3.37
Mo 0.7500 0.7500 0.7500  12 Ca 3.93, 4 Li 4.11



Entry from Alexandria via LeMat-Bulk: a relaxed structure of Li2CaMo (PBE).

- relative energy among the computed polymorphs (eV/f.u.) = 0.475
- energy of formation (eV/atom) = 0.604
- crystal system = monoclinic

abc: 2.6909 4.9089 5.9013
angles: 90.00 98.97 90.00
Closest atoms and distances in Å follow each position.
Fractional positions:
Li 0.0000 0.0000 0.0000  4 Li 2.69-2.88, 1 Ca 2.75, 2 Mo 2.96
Li 0.0303 0.5000 0.7488  4 Li 2.69-2.88, 1 Mo 2.93
Ca 0.2627 0.0000 0.4686  2 Ca 2.69, 1 Li 2.75
Mo 0.6418 0.5000 0.2052  2 Mo 2.69, 3 Li 2.93-2.96